Record 1
A relaxed MnInIr2 crystal, computed with PBE-GGA.

Cell lengths 4.4854, 4.4854, 4.4854 Å; angles 60.00, 60.00, 60.00 degrees
Each line ends with the local moment (μB).
Element x y z (fractional)
In1 0.5000 0.5000 0.5000  -0.02
Ir1 0.0000 0.0000 0.0000  0.27
Ir2 0.2500 0.2500 0.2500  0.10
Mn1 0.7500 0.7500 0.7500  3.47

## Properties
Calculated volume   63.81 Å³/f.u.
Symmetry   No. 216
Fermi-level density of states   5.67 states/eV per cell
E   -7.20 eV/atom
Calculated density   14.4 g cm⁻³



Record 2
A relaxed MnInIr2 crystal, computed with PBE-GGA.

Cell lengths 7.1427, 7.1427, 5.7189 Å; angles 51.36, 51.36, 90.00 degrees
Each line ends with the local moment (μB).
Element x y z (fractional)
Ir1 0.5836 0.1250 0.2500  0.07
Ir2 0.1664 0.6250 0.2500  0.07
Ir3 0.3750 0.4164 0.7500  0.07
Ir4 0.8750 0.8336 0.7500  0.07
Mn1 0.5000 0.5000 0.0000  2.82
Mn2 0.2500 0.7500 0.5000  2.82
In1 0.0000 0.0000 0.0000  0.01
In2 0.7500 0.2500 0.5000  0.01

## Properties
Calculated volume   68.43 Å³/f.u.
Symmetry   No. 122
Fermi-level density of states   9.29 states/eV per cell
E   -7.01 eV/atom
Calculated density   13.4 g cm⁻³